# SrRe2Se

Crystalline SrRe2Se at its relaxed geometry (GGA-PBE, Alexandria).

* raw formation energy: 0.645 eV/atom
* calculated volume: 82 Å³ per cell
* theoretical density: 10.889 Mg/m³
* SG: P2/m (10)

Cell: 3.4511 5.2325 4.5602 Å, 90.00 93.46 90.00°
Closest atoms and distances in Å follow each position.
Sites, in units of the cell vectors:
Sr  0.0000  0.0000  0.0000  4 Se 2.78-2.94
Re  0.3439  0.5000  0.7360  2 Re 2.46-2.58
Re  0.6561  0.5000  0.2640  2 Re 2.46-2.58
Se  0.5000  0.0000  0.5000  4 Sr 2.78-2.94, 4 Re 2.89